Entry 1:
This record from the Alexandria database describes crystalline PmZn9Ni3 at its relaxed geometry. The functional is PBE.

Cell: 5.0155 6.6457 6.7583 Å, 81.87 68.22 67.59°
Last column: nearest neighbours and their distance in Å.
Fractional coordinates of all 13 atoms:
Pm 0.0000 0.0000 0.0000  14 Zn 3.04-3.32, 6 Ni 3.31-3.38
Zn 0.7207 0.7808 0.7716  3 Ni 2.50-2.57, 5 Zn 2.57-2.79
Zn 0.2793 0.2192 0.2284  3 Ni 2.50-2.57, 5 Zn 2.57-2.79
Zn 0.5077 0.2192 0.7716  3 Ni 2.50-2.57, 5 Zn 2.57-2.79
Zn 0.4923 0.7808 0.2284  3 Ni 2.50-2.57, 5 Zn 2.57-2.79
Zn 0.6421 0.3396 0.3527  3 Ni 2.58-2.70, 6 Zn 2.66-2.82
Zn 0.3579 0.6604 0.6473  3 Ni 2.58-2.70, 6 Zn 2.66-2.82
Zn 0.0052 0.6604 0.3527  3 Ni 2.58-2.70, 6 Zn 2.66-2.82
Zn 0.9948 0.3396 0.6473  3 Ni 2.58-2.70, 6 Zn 2.66-2.82
Zn 0.0000 0.5000 0.0000  2 Ni 2.51, 8 Zn 2.57-2.76
Ni 0.5000 0.5000 0.0000  10 Zn 2.51-2.70
Ni 0.0000 0.0000 0.5000  8 Zn 2.50-2.63, 2 Ni 2.51
Ni 0.5000 0.0000 0.5000  8 Zn 2.50-2.63, 2 Ni 2.51

Computed properties:
E_form = -269 meV per atom
symmetry = No. 12

=====

Entry 2:
This record from the Alexandria database describes crystalline PmZn12Ni6 at its relaxed geometry. The functional is PBE.

Cell: 6.8842 6.8842 6.8842 Å, 104.71 104.71 104.71°
Last column: nearest neighbours and their distance in Å.
Fractional coordinates of all 19 atoms:
Pm 0.0000 0.0000 0.0000  6 Zn 3.11
Zn 0.8850 0.1150 0.5000  4 Ni 2.42-2.49, 3 Zn 2.51-2.64
Zn 0.8583 0.5968 0.5968  3 Ni 2.46-2.47, 2 Zn 2.64
Zn 0.5968 0.5968 0.8583  3 Ni 2.46-2.47, 2 Zn 2.64
Zn 0.4032 0.1417 0.4032  3 Ni 2.46-2.47, 2 Zn 2.64
Zn 0.4032 0.4032 0.1417  3 Ni 2.46-2.47, 2 Zn 2.64
Zn 0.1417 0.4032 0.4032  3 Ni 2.46-2.47, 2 Zn 2.64
Zn 0.1150 0.5000 0.8850  4 Ni 2.42-2.49, 3 Zn 2.51-2.64
Zn 0.5000 0.8850 0.1150  4 Ni 2.42-2.49, 3 Zn 2.51-2.64
Zn 0.1150 0.8850 0.5000  4 Ni 2.42-2.49, 3 Zn 2.51-2.64
Zn 0.8850 0.5000 0.1150  4 Ni 2.42-2.49, 3 Zn 2.51-2.64
Zn 0.5000 0.1150 0.8850  4 Ni 2.42-2.49, 3 Zn 2.51-2.64
Zn 0.5968 0.8583 0.5968  3 Ni 2.46-2.47, 2 Zn 2.64
Ni 0.6982 0.2756 0.2756  7 Zn 2.42-2.49
Ni 0.2756 0.2756 0.6982  7 Zn 2.42-2.49
Ni 0.2756 0.6982 0.2756  7 Zn 2.42-2.49
Ni 0.7244 0.7244 0.3018  7 Zn 2.42-2.49
Ni 0.3018 0.7244 0.7244  7 Zn 2.42-2.49
Ni 0.7244 0.3018 0.7244  7 Zn 2.42-2.49

Computed properties:
E_form = -110 meV per atom
symmetry = No. 166

=====

Entry 3:
This record from the Alexandria database describes crystalline PmZn4Ni6 at its relaxed geometry. The functional is PBE.

Cell: 3.9305 6.7483 6.7483 Å, 120.00 90.00 90.00°
Last column: nearest neighbours and their distance in Å.
Fractional coordinates of all 11 atoms:
Pm 0.0000 0.0000 0.0000  6 Zn 3.10, 12 Ni 3.13-3.40
Zn 0.5000 0.7949 0.5897  6 Ni 2.42-2.48, 2 Zn 2.60
Zn 0.5000 0.4103 0.2051  6 Ni 2.42-2.48, 2 Zn 2.60
Zn 0.5000 0.7949 0.2051  6 Ni 2.42-2.48, 2 Zn 2.60
Zn 0.0000 0.3333 0.6667  9 Ni 2.36-2.45
Ni 0.0000 0.5349 0.0697  5 Zn 2.36-2.48
Ni 0.5000 0.5826 0.7913  4 Zn 2.42-2.45, 2 Ni 2.52
Ni 0.0000 0.5349 0.4651  5 Zn 2.36-2.48
Ni 0.0000 0.9303 0.4651  5 Zn 2.36-2.48
Ni 0.5000 0.2087 0.7913  4 Zn 2.42-2.45, 2 Ni 2.52
Ni 0.5000 0.2087 0.4174  4 Zn 2.42-2.45, 2 Ni 2.52

Computed properties:
E_form = -173 meV per atom
symmetry = No. 187

=====

Entry 4:
This record from the Alexandria database describes crystalline PmZn2Ni3 at its relaxed geometry. The functional is PBE.

Cell: 3.8955 5.2113 5.2113 Å, 119.99 90.00 90.00°
Last column: nearest neighbours and their distance in Å.
Fractional coordinates of all 6 atoms:
Pm 0.0000 0.0012 0.0000  6 Zn 3.01, 12 Ni 3.25
Zn 0.0000 0.3345 0.6666  6 Ni 2.46
Zn 0.0000 0.6680 0.3334  6 Ni 2.46
Ni 0.5000 0.0012 0.5000  4 Zn 2.46, 4 Ni 2.61
Ni 0.5000 0.5013 0.5000  4 Zn 2.46, 4 Ni 2.61
Ni 0.5000 0.5013 0.0000  4 Zn 2.46, 4 Ni 2.61

Computed properties:
E_form = -361 meV per atom
symmetry = No. 191

=====

Entry 5:
This record from the Alexandria database describes crystalline PmZn3Ni at its relaxed geometry. The functional is PBE.

Cell: 4.5756 4.5756 4.5756 Å, 90.00 90.00 90.00°
Last column: nearest neighbours and their distance in Å.
Fractional coordinates of all 5 atoms:
Ni 0.0000 0.0000 0.0000  6 Zn 2.29
Zn 0.0000 0.5000 0.0000  2 Ni 2.29
Zn 0.0000 0.0000 0.5000  2 Ni 2.29
Zn 0.5000 0.0000 0.0000  2 Ni 2.29
Pm 0.5000 0.5000 0.5000  12 Zn 3.24

Computed properties:
E_form = -214 meV per atom
symmetry = No. 221

=====

Entry 6:
This record from the Alexandria database describes crystalline PmZn3Ni8 at its relaxed geometry. The functional is PBE.

Cell: 4.8290 4.8290 7.9358 Å, 90.00 90.00 120.00°
Last column: nearest neighbours and their distance in Å.
Fractional coordinates of all 12 atoms:
Pm 0.0000 0.0000 0.5706  12 Ni 2.84-2.94, 4 Zn 3.10-3.13
Zn 0.6667 0.3333 0.3926  9 Ni 2.69-2.91, 1 Zn 2.70
Zn 0.6667 0.3333 0.0520  12 Ni 2.67-2.85, 4 Zn 2.70-2.88
Zn 0.0000 0.0000 0.9611  12 Ni 2.63-2.88, 3 Zn 2.88
Ni 0.3333 0.6667 0.4992  6 Ni 2.47-2.53
Ni 0.3333 0.6667 0.0016  6 Ni 2.35-2.38
Ni 0.5021 0.0043 0.7643  6 Ni 2.35-2.53
Ni 0.5021 0.4979 0.7643  6 Ni 2.35-2.53
Ni 0.9957 0.4979 0.7643  6 Ni 2.35-2.53
Ni 0.1655 0.3311 0.2434  6 Ni 2.38-2.47, 1 Zn 2.63
Ni 0.1655 0.8345 0.2434  6 Ni 2.38-2.47, 1 Zn 2.63
Ni 0.6689 0.8345 0.2434  6 Ni 2.38-2.47, 1 Zn 2.63

Computed properties:
E_form = -145 meV per atom
symmetry = No. 156

=====

Entry 7:
This record from the Alexandria database describes crystalline Pm2ZnNi5 at its relaxed geometry. The functional is PBE.

Cell: 5.7265 5.7265 5.7265 Å, 91.86 118.93 118.93°
Last column: nearest neighbours and their distance in Å.
Fractional coordinates of all 8 atoms:
Pm 0.5000 0.2450 0.7450  10 Ni 2.87-2.92
Pm 0.5000 0.7450 0.2450  10 Ni 2.87-2.92
Zn 0.0000 0.9654 0.9654  5 Ni 2.40-2.46
Ni 0.4195 0.7079 0.7079  1 Zn 2.40, 3 Ni 2.44-2.48
Ni 0.0000 0.7079 0.2884  1 Zn 2.40, 3 Ni 2.44-2.48
Ni 0.0000 0.2884 0.7079  1 Zn 2.40, 3 Ni 2.44-2.48
Ni 0.5805 0.2884 0.2884  1 Zn 2.40, 3 Ni 2.44-2.48
Ni 0.0000 0.2741 0.2741  1 Zn 2.46, 4 Ni 2.48

Computed properties:
E_form = -207 meV per atom
symmetry = No. 107

=====

Entry 8:
This record from the Alexandria database describes crystalline PmZrNi2 at its relaxed geometry. The functional is PBE.

Cell: 4.7230 4.7230 4.7230 Å, 60.00 60.00 60.00°
Last column: nearest neighbours and their distance in Å.
Fractional coordinates of all 4 atoms:
Ni 0.2500 0.2500 0.2500  4 Zr 2.89, 4 Pm 2.89
Ni 0.7500 0.7500 0.7500  4 Zr 2.89, 4 Pm 2.89
Zr 0.0000 0.0000 0.0000  8 Ni 2.89
Pm 0.5000 0.5000 0.5000  8 Ni 2.89

Computed properties:
E_form = -205 meV per atom
symmetry = No. 225

=====

Entry 9:
This record from the Alexandria database describes crystalline PmZr2Ni at its relaxed geometry. The functional is PBE.

Cell: 3.3162 3.3162 7.9167 Å, 90.00 90.00 90.00°
Last column: nearest neighbours and their distance in Å.
Fractional coordinates of all 4 atoms:
Ni 0.5000 0.5000 0.0000  8 Zr 2.80
Zr 0.0000 0.0000 0.8069  4 Ni 2.80, 1 Zr 3.06
Zr 0.0000 0.0000 0.1931  4 Ni 2.80, 1 Zr 3.06
Pm 0.5000 0.5000 0.5000  4 Pm 3.32, 8 Zr 3.38

Computed properties:
E_form = -58 meV per atom
symmetry = No. 123

=====

Entry 10:
This record from the Alexandria database describes crystalline Pm2ZrNi9 at its relaxed geometry. The functional is PBE.

Cell: 4.9155 4.9155 8.7490 Å, 73.68 73.68 60.00°
Last column: nearest neighbours and their distance in Å.
Fractional coordinates of all 12 atoms:
Pm 0.8630 0.8630 0.4110  9 Ni 2.84-2.93
Pm 0.1370 0.1370 0.5890  9 Ni 2.84-2.93
Zr 0.0000 0.0000 0.0000  18 Ni 2.84-3.15
Ni 0.6669 0.6669 0.9995  6 Ni 2.43
Ni 0.3332 0.3332 0.0005  6 Ni 2.43
Ni 0.5000 0.5000 0.5000  6 Ni 2.59
Ni 0.4207 0.4207 0.2384  7 Ni 2.43-2.59
Ni 0.9201 0.4207 0.2384  7 Ni 2.43-2.59
Ni 0.4207 0.9201 0.2384  7 Ni 2.43-2.59
Ni 0.5793 0.5793 0.7616  7 Ni 2.43-2.59
Ni 0.5793 0.0799 0.7616  7 Ni 2.43-2.59
Ni 0.0799 0.5793 0.7616  7 Ni 2.43-2.59

Computed properties:
E_form = -320 meV per atom
symmetry = No. 166

=====

Entry 11:
This record from the Alexandria database describes crystalline PmZrNi10 at its relaxed geometry. The functional is PBE.

Cell: 3.9647 4.8429 8.3979 Å, 90.00 90.00 90.00°
Last column: nearest neighbours and their distance in Å.
Fractional coordinates of all 12 atoms:
Pm 0.0000 0.0000 0.0000  18 Ni 2.84-3.19
Zr 0.0000 0.5000 0.5000  6 Ni 2.71-2.76
Ni 0.0000 0.0000 0.3414  7 Ni 2.39-2.66
Ni 0.0000 0.5000 0.8223  6 Ni 2.41-2.48
Ni 0.0000 0.5000 0.1777  6 Ni 2.41-2.48
Ni 0.0000 0.0000 0.6586  7 Ni 2.39-2.66
Ni 0.5000 0.0000 0.5000  8 Ni 2.38-2.39
Ni 0.5000 0.5000 0.0000  8 Ni 2.47-2.48
Ni 0.5000 0.2545 0.2581  8 Ni 2.38-2.47
Ni 0.5000 0.7455 0.7419  8 Ni 2.38-2.47
Ni 0.5000 0.7455 0.2581  8 Ni 2.38-2.47
Ni 0.5000 0.2545 0.7419  8 Ni 2.38-2.47

Computed properties:
E_form = -287 meV per atom
symmetry = No. 47

=====

Entry 12:
This record from the Alexandria database describes crystalline PmZrNi2 at its relaxed geometry. The functional is PBE.

Cell: 3.3114 3.3114 6.8486 Å, 90.00 90.00 90.00°
Last column: nearest neighbours and their distance in Å.
Fractional coordinates of all 4 atoms:
Ni 0.0000 0.0000 0.7992  4 Zr 2.72, 1 Ni 2.75
Ni 0.0000 0.0000 0.2008  4 Zr 2.72, 1 Ni 2.75
Zr 0.5000 0.5000 0.0000  8 Ni 2.72
Pm 0.5000 0.5000 0.5000  8 Ni 3.11, 4 Pm 3.31, 2 Zr 3.42

Computed properties:
E_form = -317 meV per atom
symmetry = No. 123

=====

Which of these has the lowest E_form? PmZn2Ni3

=====

The lowest E_form belongs to which entry? PmZn2Ni3

=====

Please write out number 4 again, unchanged.
This record from the Alexandria database describes crystalline PmZn2Ni3 at its relaxed geometry. The functional is PBE.

Cell: 3.8955 5.2113 5.2113 Å, 119.99 90.00 90.00°
Last column: nearest neighbours and their distance in Å.
Fractional coordinates of all 6 atoms:
Pm 0.0000 0.0012 0.0000  6 Zn 3.01, 12 Ni 3.25
Zn 0.0000 0.3345 0.6666  6 Ni 2.46
Zn 0.0000 0.6680 0.3334  6 Ni 2.46
Ni 0.5000 0.0012 0.5000  4 Zn 2.46, 4 Ni 2.61
Ni 0.5000 0.5013 0.5000  4 Zn 2.46, 4 Ni 2.61
Ni 0.5000 0.5013 0.0000  4 Zn 2.46, 4 Ni 2.61

Computed properties:
E_form = -361 meV per atom
symmetry = No. 191

=====

Number 8 is which compound? PmZrNi2